Entry from Alexandria via LeMat-Bulk: LiLa2Se at its PBEsol-relaxed geometry (SCAN).

Computed properties:
Mass density ... 6042 kg/m3
Formation energy without anion corrections ... -707 meV per atom
Uncorrected energy ... -27.88 eV per atom
Total magnetization ... 0.00 μB per cell

a = 5.499 Å, b = 5.499 Å, c = 5.499 Å
α = 128.13°, β = 128.13°, γ = 76.41°
Fractional positions:
Li (0.000, 0.000, 0.000)
La (0.250, 0.750, 0.500)
La (0.750, 0.250, 0.500)
Se (0.500, 0.500, 0.000)

---

Entry from Alexandria via LeMat-Bulk: LiLa2Se at its PBEsol-relaxed geometry (SCAN).

Computed properties:
Mass density ... 5779 kg/m3
Formation energy without anion corrections ... -755 meV per atom
Uncorrected energy ... -27.92 eV per atom
Total magnetization ... 0.00 μB per cell

a = 3.606 Å, b = 3.606 Å, c = 8.038 Å
α = 90.00°, β = 90.00°, γ = 90.31°
Fractional positions:
Li (0.000, 0.000, 0.000)
La (0.000, 0.000, 0.629)
La (0.500, 0.500, 0.276)
Se (0.500, 0.500, 0.879)

---

Entry from Alexandria via LeMat-Bulk: LiLa2Se at its PBEsol-relaxed geometry (SCAN).

Computed properties:
Mass density ... 5386 kg/m3
Formation energy without anion corrections ... -870 meV per atom
Uncorrected energy ... -28.04 eV per atom
Total magnetization ... 0.00 μB per cell

a = 4.295 Å, b = 4.295 Å, c = 6.078 Å
α = 90.00°, β = 90.00°, γ = 90.00°
Fractional positions:
Li (0.000, 0.000, 0.000)
La (0.000, 0.000, 0.500)
La (0.500, 0.500, 0.999)
Se (0.500, 0.500, 0.499)

---

Entry from Alexandria via LeMat-Bulk: LiLa2Se at its PBEsol-relaxed geometry (SCAN).

Computed properties:
Mass density ... 4942 kg/m3
Formation energy without anion corrections ... -927 meV per atom
Uncorrected energy ... -28.10 eV per atom
Total magnetization ... 1.38 μB per cell

a = 8.345 Å, b = 8.345 Å, c = 8.345 Å
α = 29.18°, β = 29.18°, γ = 29.18°
Fractional positions:
Li (0.000, 0.000, 0.000)
La (0.237, 0.237, 0.237)
La (0.763, 0.763, 0.763)
Se (0.500, 0.500, 0.500)